[1]
Material: TmMgRe4
Method: DFT, PBE
State: optimized geometry

abc: 5.318 5.318 5.318
angles: 60.00 60.00 60.00
Element x y z (fractional)
Tm  0.000  0.000  0.000
Mg  0.250  0.250  0.250
Re  0.126  0.625  0.625
Re  0.625  0.126  0.625
Re  0.625  0.625  0.126
Re  0.625  0.625  0.625

Output
- formation energy (eV per atom) = -0.05

=====

[2]
Material: Cd6InAg2
Method: DFT, PBE
State: optimized geometry

abc: 5.357 5.357 13.925
angles: 91.61 91.61 96.78
Element x y z (fractional)
Cd  0.124  0.771  0.977
Cd  0.146  0.390  0.637
Cd  0.229  0.876  0.523
Cd  0.325  0.375  0.402
Cd  0.375  0.325  0.902
Cd  0.390  0.146  0.137
Cd  0.610  0.854  0.863
Cd  0.625  0.675  0.098
Cd  0.675  0.625  0.598
Cd  0.771  0.124  0.477
Cd  0.854  0.610  0.363
Cd  0.876  0.229  0.023
In  0.089  0.911  0.750
In  0.911  0.089  0.250
Ag  0.121  0.586  0.176
Ag  0.414  0.879  0.324
Ag  0.586  0.121  0.676
Ag  0.879  0.414  0.824

Output
- formation energy (eV per atom) = 0.00

=====

[3]
Material: Cs2AcSnO4
Method: DFT, PBE
State: optimized geometry

abc: 6.193 6.193 6.704
angles: 117.81 117.81 88.46
Element x y z (fractional)
Cs  0.000  0.000  0.000
Cs  0.745  0.255  0.500
Ac  0.513  0.487  0.000
Sn  0.252  0.748  0.500
O  0.268  0.471  0.590
O  0.452  0.065  0.904
O  0.529  0.732  0.410
O  0.935  0.548  0.096

Output
- ΔE_f (raw) (eV per atom) = -1.88

=====

no.,total magnetic moment (μB per atom)
1,0.000
2,0.000
3,0.104